No. 1
# CeHgTe2 PBE-GGA relaxed
data_CeHgTe2
_chemical_formula_sum 'Ce1 Hg1 Te2'
_space_group_name_H-M_alt 'P 4/m m m'
_space_group_IT_number 123
_space_group_name_Hall '-P 4 2'
_cell_length_a 5.2064
_cell_length_b 5.2064
_cell_length_c 4.1072
_cell_angle_alpha 90.00
_cell_angle_beta 90.00
_cell_angle_gamma 90.00
loop_
_atom_site_label
_atom_site_type_symbol
_atom_site_fract_x
_atom_site_fract_y
_atom_site_fract_z
Ce1 Ce 0.0000 0.0000 0.0000
Hg1 Hg 0.5000 0.5000 0.0000
Te1 Te 0.0000 0.5000 0.5000
# Total DFT energy (no corrections) in eV/atom: -3.88
# Distance to the lowest polymorph of the same formula in meV per atom: 0


No. 2
# BNClF2 PBE-GGA relaxed
data_BNClF2
_chemical_formula_sum 'B1 N1 Cl1 F2'
_space_group_name_H-M_alt 'P 4/m m m'
_space_group_IT_number 123
_space_group_name_Hall '-P 4 2'
_cell_length_a 3.2094
_cell_length_b 3.2094
_cell_length_c 4.3434
_cell_angle_alpha 90.00
_cell_angle_beta 90.00
_cell_angle_gamma 90.00
loop_
_atom_site_label
_atom_site_type_symbol
_atom_site_fract_x
_atom_site_fract_y
_atom_site_fract_z
B1 B 0.0000 0.0000 0.0000
N1 N 0.0000 0.0000 0.5000
Cl1 Cl 0.5000 0.5000 0.5000
F1 F 0.0000 0.5000 0.0000
# Total DFT energy (no corrections) in eV/atom: -4.03
# Distance to the lowest polymorph of the same formula in meV per atom: 0


No. 3
# CsPt2O2 PBE-GGA relaxed
data_CsPt2O2
_chemical_formula_sum 'Cs2 Pt4 O4'
_space_group_name_H-M_alt 'I 4/m m m'
_space_group_IT_number 139
_space_group_name_Hall '-I 4 2'
_cell_length_a 4.2229
_cell_length_b 4.2229
_cell_length_c 11.9565
_cell_angle_alpha 90.00
_cell_angle_beta 90.00
_cell_angle_gamma 90.00
loop_
_atom_site_label
_atom_site_type_symbol
_atom_site_fract_x
_atom_site_fract_y
_atom_site_fract_z
Cs1 Cs 0.0000 0.0000 0.0000
Pt1 Pt 0.0000 0.0000 0.2879
O1 O 0.0000 0.5000 0.2500
# Total DFT energy (no corrections) in eV/atom: -4.73


No. 4
# Dy2Ga6Pt PBE-GGA relaxed
data_Dy2Ga6Pt
_chemical_formula_sum 'Dy4 Ga12 Pt2'
_space_group_name_H-M_alt 'A m m 2'
_space_group_IT_number 38
_cell_length_a 3.7149
_cell_length_b 4.1872
_cell_length_c 23.6833
_cell_angle_alpha 90.00
_cell_angle_beta 90.00
_cell_angle_gamma 90.00
loop_
_space_group_symop_operation_xyz
'x,y,z'
'-x,-y,z'
'-x,y,z'
'x,-y,z'
'x,y+1/2,z+1/2'
'-x,-y+1/2,z+1/2'
'-x,y+1/2,z+1/2'
'x,-y+1/2,z+1/2'
loop_
_atom_site_label
_atom_site_type_symbol
_atom_site_fract_x
_atom_site_fract_y
_atom_site_fract_z
Dy1 Dy 0.0000 0.0000 0.0000
Dy2 Dy 0.0000 0.0000 0.3334
Ga1 Ga 0.0000 0.0000 0.6268
Ga2 Ga 0.0000 0.0000 0.7373
Ga3 Ga 0.5000 0.0000 0.1179
Ga4 Ga 0.5000 0.0000 0.2262
Ga5 Ga 0.5000 0.0000 0.4409
Ga6 Ga 0.5000 0.0000 0.8811
Pt1 Pt 0.5000 0.0000 0.5482
# Total DFT energy (no corrections) in eV/atom: -4.23
# Formation energy from the elements in meV per atom: -520


Number 1: magnetic moment 0.65 Bohr magnetons per cell, ρ 8.9 g/cm³. Number 2: magnetic moment 0.00 Bohr magnetons per cell, ρ 3.6 g/cm³. Number 3: magnetic moment 0.00 Bohr magnetons per cell, ρ 8.6 g/cm³. Number 4: magnetic moment 0.00 Bohr magnetons per cell, ρ 8.5 g/cm³.